This record from Alexandria via LeMat-Bulk describes a relaxed LaMnRe crystal. The functional is PBE.

Properties
Formation energy   0.773 eV per atom
Excess energy over the best structure of this formula in the dataset   509 meV per atom

abc: 4.5761 4.5761 4.5761
angles: 60.00 60.00 60.00
Last column: nearest neighbours and their distance in Å.
Fractional coordinates of all 3 atoms:
La 0.0000 0.0000 0.0000  4 Re 2.80
Mn 0.5000 0.5000 0.5000  4 Re 2.80
Re 0.7500 0.7500 0.7500  4 Mn 2.80, 4 La 2.80

=====

This record from Alexandria via LeMat-Bulk describes a relaxed LiMgCl2 crystal. The functional is PBE.

Properties
Excess energy over the best structure of this formula in the dataset   55 meV per atom

abc: 11.2832 11.2832 11.2832
angles: 18.40 18.40 18.40
Last column: nearest neighbours and their distance in Å.
Fractional coordinates of all 4 atoms:
Li 0.0000 0.0000 0.0000  6 Li 3.61
Mg 0.5000 0.5000 0.5000  6 Cl 2.51
Cl 0.1247 0.1247 0.1247  3 Mg 2.51
Cl 0.8753 0.8753 0.8753  3 Mg 2.51

=====

This record from Alexandria via LeMat-Bulk describes a relaxed MnNb2Ge crystal. The functional is PBE.

Properties
Formation energy   0.305 eV per atom

abc: 5.6841 5.6841 5.6841
angles: 103.66 103.66 121.85
Last column: nearest neighbours and their distance in Å.
Fractional coordinates of all 8 atoms:
Mn 0.0000 0.0000 0.0000  4 Nb 2.52, 2 Ge 2.76
Mn 0.7500 0.2500 0.5000  4 Nb 2.52, 2 Ge 2.76
Nb 0.1126 0.6250 0.9876  2 Mn 2.52, 2 Ge 2.64, 2 Nb 2.77
Nb 0.3750 0.3626 0.4876  2 Mn 2.52, 2 Ge 2.64, 2 Nb 2.77
Nb 0.6374 0.1250 0.0124  2 Mn 2.52, 2 Ge 2.64, 2 Nb 2.77
Nb 0.8750 0.8874 0.5124  2 Mn 2.52, 2 Ge 2.64, 2 Nb 2.77
Ge 0.2500 0.7500 0.5000  4 Nb 2.64, 2 Mn 2.76
Ge 0.5000 0.5000 0.0000  4 Nb 2.64, 2 Mn 2.76

=====

This record from Alexandria via LeMat-Bulk describes a relaxed PtPbW2 crystal. The functional is PBE.

Properties
Formation energy   0.735 eV per atom

abc: 2.9360 2.9360 8.3592
angles: 90.00 90.00 90.00
Last column: nearest neighbours and their distance in Å.
Fractional coordinates of all 4 atoms:
Pt 0.0000 0.0000 0.0000  8 W 2.81, 4 Pt 2.94
Pb 0.0000 0.0000 0.5000  4 Pb 2.94, 8 W 3.09
W 0.5000 0.5000 0.2260  4 Pt 2.81, 4 W 2.94, 4 Pb 3.09
W 0.5000 0.5000 0.7740  4 Pt 2.81, 4 W 2.94, 4 Pb 3.09

=====

This record from Alexandria via LeMat-Bulk describes a relaxed BaGa2Au crystal. The functional is PBE.

Properties
Formation energy   -0.219 eV per atom

abc: 5.1516 5.1516 5.1516
angles: 60.00 60.00 60.00
Last column: nearest neighbours and their distance in Å.
Fractional coordinates of all 4 atoms:
Ba 0.0000 0.0000 0.0000  8 Ga 3.15
Ga 0.2500 0.2500 0.2500  4 Ba 3.15, 4 Au 3.15
Ga 0.7500 0.7500 0.7500  4 Ba 3.15, 4 Au 3.15
Au 0.5000 0.5000 0.5000  8 Ga 3.15

=====

This record from Alexandria via LeMat-Bulk describes a relaxed Ca2AlCu2Pd5 crystal. The functional is PBE.

Properties
Formation energy   -0.562 eV per atom

abc: 9.6139 9.6139 3.7228
angles: 90.00 90.00 90.00
Last column: nearest neighbours and their distance in Å.
Fractional coordinates of all 20 atoms:
Ca 0.1730 0.3270 0.0000  3 Cu 2.73-2.91, 2 Pd 3.00
Ca 0.3270 0.8270 0.0000  3 Cu 2.73-2.91, 2 Pd 3.00
Ca 0.6730 0.1730 0.0000  3 Cu 2.73-2.91, 2 Pd 3.00
Ca 0.8270 0.6730 0.0000  3 Cu 2.73-2.91, 2 Pd 3.00
Al 0.0000 0.0000 0.0000  8 Pd 2.73
Al 0.5000 0.5000 0.0000  8 Pd 2.73
Cu 0.1264 0.6264 0.0000  6 Pd 2.53-2.59, 1 Ca 2.73
Cu 0.3736 0.1264 0.0000  6 Pd 2.53-2.59, 1 Ca 2.73
Cu 0.6264 0.8736 0.0000  6 Pd 2.53-2.59, 1 Ca 2.73
Cu 0.8736 0.3736 0.0000  6 Pd 2.53-2.59, 1 Ca 2.73
Pd 0.0000 0.5000 0.5000  4 Cu 2.53
Pd 0.0632 0.8024 0.5000  2 Cu 2.59, 2 Al 2.73, 2 Pd 2.82
Pd 0.1976 0.0632 0.5000  2 Cu 2.59, 2 Al 2.73, 2 Pd 2.82
Pd 0.3024 0.5632 0.5000  2 Cu 2.59, 2 Al 2.73, 2 Pd 2.82
Pd 0.4368 0.3024 0.5000  2 Cu 2.59, 2 Al 2.73, 2 Pd 2.82
Pd 0.5000 0.0000 0.5000  4 Cu 2.53
Pd 0.5632 0.6976 0.5000  2 Cu 2.59, 2 Al 2.73, 2 Pd 2.82
Pd 0.6976 0.4368 0.5000  2 Cu 2.59, 2 Al 2.73, 2 Pd 2.82
Pd 0.8024 0.9368 0.5000  2 Cu 2.59, 2 Al 2.73, 2 Pd 2.82
Pd 0.9368 0.1976 0.5000  2 Cu 2.59, 2 Al 2.73, 2 Pd 2.82

=====

This record from Alexandria via LeMat-Bulk describes a relaxed RbSr2F6 crystal. The functional is PBE.

Properties
Calculated total energy   -4.94 eV/atom

abc: 10.1968 10.1968 10.1968
angles: 156.49 156.49 33.49
Last column: nearest neighbours and their distance in Å.
Fractional coordinates of all 9 atoms:
Rb 0.0000 0.0000 0.0000  8 F 2.86
Sr 0.3256 0.3256 0.0000  8 F 2.53-2.55
Sr 0.6744 0.6744 0.0000  8 F 2.53-2.55
F 0.1008 0.6008 0.5000  2 Sr 2.53
F 0.2500 0.7500 0.5000  4 Sr 2.55
F 0.3992 0.8992 0.5000  2 Sr 2.53
F 0.6008 0.1008 0.5000  2 Sr 2.53
F 0.7500 0.2500 0.5000  4 Sr 2.55
F 0.8992 0.3992 0.5000  2 Sr 2.53

=====

This record from Alexandria via LeMat-Bulk describes a relaxed Co2IrPt2 crystal. The functional is PBE.

Properties
Formation energy   0.255 eV per atom
Excess energy over the best structure of this formula in the dataset   21 meV per atom

abc: 6.4152 6.4152 3.4349
angles: 90.00 90.00 90.00
Last column: nearest neighbours and their distance in Å.
Fractional coordinates of all 10 atoms:
Co 0.1263 0.3737 0.0000  1 Co 2.29, 2 Pt 2.50, 2 Ir 2.53
Co 0.3737 0.8737 0.0000  1 Co 2.29, 2 Pt 2.50, 2 Ir 2.53
Co 0.6263 0.1263 0.0000  1 Co 2.29, 2 Pt 2.50, 2 Ir 2.53
Co 0.8737 0.6263 0.0000  1 Co 2.29, 2 Pt 2.50, 2 Ir 2.53
Ir 0.0000 0.0000 0.0000  4 Co 2.53
Ir 0.5000 0.5000 0.0000  4 Co 2.53
Pt 0.1729 0.6729 0.5000  6 Co 2.50-2.59
Pt 0.3271 0.1729 0.5000  6 Co 2.50-2.59
Pt 0.6729 0.8271 0.5000  6 Co 2.50-2.59
Pt 0.8271 0.3271 0.5000  6 Co 2.50-2.59